Entry 1:
Material: KAl2F6
Method: DFT, PBE
State: optimized geometry

Size of the total moment in μB/f.u.: 0.0
E_form (uncorrected) in eV/atom: -3.048
Uncorrected energy in eV/cell: -47.24
DOS(E_F) in states/eV/f.u.: 0.972
Calculated density in g cm⁻³: 2.1

Cell: 4.9937 4.9937 7.6233 Å, 90.00 90.00 120.00°
Space group P-31m (No. 162)
Inequivalent atoms, fractional coordinates:
K 0.0000 0.0000 0.0000
Al 0.3333 0.6667 0.5000
F 0.0000 0.3770 0.6309

=====

Entry 2:
Material: K2AlF5
Method: DFT, PBE
State: optimized geometry

Size of the total moment in μB/f.u.: 0.0
E_form (uncorrected) in eV/atom: -3.255
Uncorrected energy in eV/cell: -41.33
DOS(E_F) in states/eV/f.u.: 0.000
Calculated density in g cm⁻³: 2.4
ΔE to the lowest computed polymorph in eV/atom: 0.000

Cell: 6.022 6.022 3.751 Å, 90.00 90.00 90.00°
Space group P4/mmm (No. 123)
Inequivalent atoms, fractional coordinates:
K 0.000 0.500 0.000
Al 0.000 0.000 0.500
F 0.000 0.000 0.000
F 0.213 0.213 0.500

=====

Entry 3:
Material: KAl3F
Method: DFT, PBE
State: optimized geometry

Size of the total moment in μB/f.u.: 0.0
E_form (uncorrected) in eV/atom: -0.079
Uncorrected energy in eV/cell: -14.59
DOS(E_F) in states/eV/f.u.: 2.486
Calculated density in g cm⁻³: 2.0
ΔE to the lowest computed polymorph in eV/atom: 0.000

Cell: 4.893 4.893 4.893 Å, 90.00 90.00 90.00°
Space group Pm-3m (No. 221)
Inequivalent atoms, fractional coordinates:
K 0.000 0.000 0.000
Al 0.000 0.500 0.500
F 0.500 0.500 0.500

=====

Entry 4:
Material: KAl3F
Method: DFT, PBE
State: optimized geometry

Size of the total moment in μB/f.u.: 0.0
E_form (uncorrected) in eV/atom: 1.168
Uncorrected energy in eV/cell: -8.36
DOS(E_F) in states/eV/f.u.: 5.881
Calculated density in g cm⁻³: 1.0
ΔE to the lowest computed polymorph in eV/atom: 1.247

Cell: 6.191 6.191 6.191 Å, 90.00 90.00 90.00°
Space group Pm-3m (No. 221)
Inequivalent atoms, fractional coordinates:
K 0.000 0.000 0.000
Al 0.000 0.000 0.500
F 0.500 0.500 0.500

=====

Entry 5:
Material: K3AlF8
Method: DFT, PBE
State: optimized geometry

Size of the total moment in μB/f.u.: 2.0
E_form (uncorrected) in eV/atom: -2.423
Uncorrected energy in eV/cell: -102.17
DOS(E_F) in states/eV/f.u.: 8.787
Calculated density in g cm⁻³: 2.5

Cell: 5.856 5.856 11.456 Å, 90.00 90.00 90.00°
Space group I4/mmm (No. 139)
Inequivalent atoms, fractional coordinates:
K 0.000 0.000 0.000
K 0.000 0.500 0.250
Al 0.000 0.000 0.500
F 0.198 0.198 0.399

=====

Entry 6:
Material: K5Al2F12
Method: DFT, PBE
State: optimized geometry

Size of the total moment in μB/f.u.: 1.0
E_form (uncorrected) in eV/atom: -2.960
Uncorrected energy in eV/cell: -183.34
DOS(E_F) in states/eV/f.u.: 2.127
Calculated density in g cm⁻³: 2.3

Cell: 14.250 5.856 8.549 Å, 90.00 106.28 90.00°
Space group C2/m (No. 12)
Inequivalent atoms, fractional coordinates:
K 0.000 0.000 0.000
K 0.187 0.500 0.858
K 0.204 0.500 0.351
Al 0.000 0.247 0.500
F 0.001 0.000 0.357
F 0.002 0.500 0.358
F 0.129 0.252 0.563
F 0.156 0.250 0.092

=====

Entry 7:
Material: K2AlF5
Method: DFT, PBE
State: optimized geometry

Size of the total moment in μB/f.u.: 0.0
E_form (uncorrected) in eV/atom: -3.189
Uncorrected energy in eV/cell: -81.61
DOS(E_F) in states/eV/f.u.: 0.000
Calculated density in g cm⁻³: 2.3
ΔE to the lowest computed polymorph in eV/atom: 0.066

Cell: 6.155 6.155 7.542 Å, 90.00 90.00 90.00°
Space group I4mm (No. 107)
Inequivalent atoms, fractional coordinates:
K 0.000 0.500 0.000
Al 0.000 0.000 0.229
F 0.000 0.000 0.001
F 0.201 0.201 0.280

=====

Entry 8:
Material: KAl2F
Method: DFT, PBE
State: optimized geometry

Size of the total moment in μB/f.u.: 0.0
E_form (uncorrected) in eV/atom: 0.154
Uncorrected energy in eV/cell: -39.34
DOS(E_F) in states/eV/f.u.: 5.326
Calculated density in g cm⁻³: 1.8
ΔE to the lowest computed polymorph in eV/atom: 0.632

Cell: 7.402 7.402 7.402 Å, 90.00 90.00 90.00°
Space group Fm-3m (No. 225)
Inequivalent atoms, fractional coordinates:
K 0.000 0.000 0.000
Al 0.250 0.250 0.250
F 0.000 0.000 0.500

=====

Entry 9:
Material: KAl2F
Method: DFT, PBE
State: optimized geometry

Size of the total moment in μB/f.u.: 0.0
E_form (uncorrected) in eV/atom: -0.478
Uncorrected energy in eV/cell: -49.46
DOS(E_F) in states/eV/f.u.: 1.593
Calculated density in g cm⁻³: 1.8
ΔE to the lowest computed polymorph in eV/atom: 0.000

Cell: 4.944 4.944 17.269 Å, 90.00 90.00 90.00°
Space group I-42d (No. 122)
Inequivalent atoms, fractional coordinates:
K 0.000 0.000 0.000
Al 0.057 0.250 0.625
F 0.000 0.000 0.500

=====

Entry 10:
Material: K2AlF6
Method: DFT, PBE
State: optimized geometry

Size of the total moment in μB/f.u.: 1.0
E_form (uncorrected) in eV/atom: -2.864
Uncorrected energy in eV/cell: -85.89
DOS(E_F) in states/eV/f.u.: 8.705
Calculated density in g cm⁻³: 2.6

Cell: 5.8198 5.8198 9.4501 Å, 90.00 90.00 120.00°
Space group P6_3mc (No. 186)
Inequivalent atoms, fractional coordinates:
K 0.0000 0.0000 0.0000
K 0.3333 0.6667 0.2805
Al 0.3333 0.6667 0.6686
F 0.0421 0.5211 0.5539
F 0.1826 0.3651 0.7730

=====

Entry 11:
Material: K3Al2F9
Method: DFT, PBE
State: optimized geometry

Size of the total moment in μB/f.u.: 0.2
E_form (uncorrected) in eV/atom: -3.287
Uncorrected energy in eV/cell: -441.83
DOS(E_F) in states/eV/f.u.: 0.000
Calculated density in g cm⁻³: 2.7

Cell: 10.0666 10.0666 14.1681 Å, 90.00 90.00 120.00°
Space group R-3c (No. 167, hexagonal axes)
Inequivalent atoms, fractional coordinates:
K 0.0000 0.3446 0.2500
Al 0.0000 0.0000 0.1536
F 0.0000 0.1375 0.7500
F 0.0031 0.1569 0.4027

=====

Entry 12:
Material: K3AlF
Method: DFT, PBE
State: optimized geometry

Size of the total moment in μB/f.u.: 0.0
E_form (uncorrected) in eV/atom: -0.831
Uncorrected energy in eV/cell: -13.06
DOS(E_F) in states/eV/f.u.: 2.436
Calculated density in g cm⁻³: 1.7
ΔE to the lowest computed polymorph in eV/atom: 0.000

Cell: 5.474 5.474 5.474 Å, 90.00 90.00 90.00°
Space group Pm-3m (No. 221)
Inequivalent atoms, fractional coordinates:
K 0.000 0.000 0.500
Al 0.500 0.500 0.500
F 0.000 0.000 0.000

=====

Question: The lowest E_form (uncorrected) belongs to which entry?
Answer: K3Al2F9